1.
VASP calculation (GGA-PBE) on a geometry-optimized LaAuS2 structure.

Output
- Fermi-level density of states (states/eV/atom) = 0.00
- M_tot (μB per cell) = 0.0
- energy above the lowest structure with this stoichiometry (meV per atom) = 150
- formation energy (no corrections) (meV/atom) = -1248.1

a = 8.7770 Å, b = 7.9594 Å, c = 7.8585 Å
α = 90.00°, β = 123.83°, γ = 90.00°
Space group Cc (No. 9)
One atom of each set of equivalent atoms:
La1 0.0000 0.1258 0.0000 (multiplicity 4)
Au1 0.1511 0.3739 0.5004 (multiplicity 4)
S1 0.2187 0.1017 0.4447 (multiplicity 4)
S2 0.2733 0.3537 0.0550 (multiplicity 4)

2.
VASP calculation (GGA-PBE) on a geometry-optimized CsNa2Tl2 structure.

Output
- formation energy from the elements (kJ/mol of formula units) = -19
- Fermi-level density of states (states/eV/atom) = 0.52
- M_tot (μB per cell) = 0.0
- energy above the lowest structure with this stoichiometry (meV per atom) = 8

a = 9.8032 Å, b = 9.8032 Å, c = 3.8497 Å
α = 90.00°, β = 90.00°, γ = 90.00°
Space group P4/mbm (No. 127)
One atom of each set of equivalent atoms:
Cs1 0.0000 0.0000 0.0000 (multiplicity 2)
Na1 0.1692 0.3308 0.5000 (multiplicity 4)
Tl1 0.1159 0.6159 0.0000 (multiplicity 4)

3.
VASP calculation (GGA-PBE) on a geometry-optimized AcYIr structure.

Output
- formation energy from the elements (kJ/mol of formula units) = -120
- Fermi-level density of states (states/eV/atom) = 1.13
- M_tot (μB per cell) = 0.0
- energy above the lowest structure with this stoichiometry (meV per atom) = 166

a = 3.6402 Å, b = 3.6402 Å, c = 13.3327 Å
α = 90.00°, β = 90.00°, γ = 90.00°
Space group I4mm (No. 107)
One atom of each set of equivalent atoms:
Ac1 0.0000 0.0000 0.0000 (multiplicity 2)
Y1 0.0000 0.0000 0.2511 (multiplicity 2)
Ir1 0.0000 0.0000 0.6407 (multiplicity 2)

4.
VASP calculation (GGA-PBE) on a geometry-optimized Pb2IN structure.

Output
- Fermi-level density of states (states/eV/atom) = 0.00
- M_tot (μB per cell) = 0.0
- energy above the lowest structure with this stoichiometry (meV per atom) = 0
- formation energy (no corrections) (meV/atom) = 231.9

a = 7.6488 Å, b = 7.6488 Å, c = 8.1280 Å
α = 90.00°, β = 90.00°, γ = 90.00°
Space group I-42d (No. 122)
One atom of each set of equivalent atoms:
Pb1 0.1369 0.7500 0.1250 (multiplicity 8)
I1 0.0000 0.0000 0.5000 (multiplicity 4)
N1 0.0000 0.0000 0.0000 (multiplicity 4)

5.
VASP calculation (GGA-PBE) on a geometry-optimized BaNaP2Au2 structure.

Output
- formation energy from the elements (kJ/mol of formula units) = -345
- Fermi-level density of states (states/eV/atom) = 0.66
- M_tot (μB per cell) = 0.0

a = 4.2814 Å, b = 4.2814 Å, c = 9.0043 Å
α = 90.00°, β = 90.00°, γ = 120.00°
Space group P-3m1 (No. 164)
One atom of each set of equivalent atoms:
Ba1 0.0000 0.0000 0.0000 (multiplicity 1)
Na1 0.0000 0.0000 0.5000 (multiplicity 1)
P1 0.3333 0.6667 0.7436 (multiplicity 2)
Au1 0.3333 0.6667 0.2752 (multiplicity 2)

6.
VASP calculation (GGA-PBE) on a geometry-optimized Tl2HgOsAu structure.

Output
- formation energy from the elements (kJ/mol of formula units) = 757
- Fermi-level density of states (states/eV/atom) = 1.16
- M_tot (μB per cell) = 2.9

a = 5.6524 Å, b = 5.6524 Å, c = 5.1917 Å
α = 90.00°, β = 90.00°, γ = 90.00°
Space group P4/mmm (No. 123)
One atom of each set of equivalent atoms:
Tl1 0.0000 0.5000 0.0000 (multiplicity 2)
Hg1 0.0000 0.0000 0.0000 (multiplicity 1)
Os1 0.5000 0.5000 0.5000 (multiplicity 1)
Au1 0.0000 0.0000 0.5000 (multiplicity 1)

7.
VASP calculation (GGA-PBE) on a geometry-optimized CaCuPb3 structure.

Output
- formation energy from the elements (kJ/mol of formula units) = 452
- Fermi-level density of states (states/eV/atom) = 1.31
- M_tot (μB per cell) = 0.0
- energy above the lowest structure with this stoichiometry (meV per atom) = 917

a = 5.8977 Å, b = 5.8977 Å, c = 5.8977 Å
α = 90.00°, β = 90.00°, γ = 90.00°
Space group Pm-3m (No. 221)
One atom of each set of equivalent atoms:
Ca1 0.0000 0.0000 0.0000 (multiplicity 1)
Cu1 0.5000 0.5000 0.5000 (multiplicity 1)
Pb1 0.0000 0.0000 0.5000 (multiplicity 3)

8.
VASP calculation (GGA-PBE) on a geometry-optimized Tl2HgI2 structure.

Output
- Fermi-level density of states (states/eV/atom) = 0.00
- M_tot (μB per cell) = 0.0
- energy above the lowest structure with this stoichiometry (meV per atom) = 62
- formation energy (no corrections) (meV/atom) = -426.9

a = 6.6685 Å, b = 6.6685 Å, c = 10.3271 Å
α = 90.00°, β = 90.00°, γ = 90.00°
Space group I4/mmm (No. 139)
One atom of each set of equivalent atoms:
Tl1 0.0000 0.0000 0.1769 (multiplicity 4)
Hg1 0.0000 0.0000 0.5000 (multiplicity 2)
I1 0.0000 0.5000 0.2500 (multiplicity 4)

9.
VASP calculation (GGA-PBE) on a geometry-optimized VSiSeN2 structure.

Output
- Fermi-level density of states (states/eV/atom) = 0.44
- M_tot (μB per cell) = 0.0
- energy above the lowest structure with this stoichiometry (meV per atom) = 0
- formation energy (no corrections) (meV/atom) = 444.3

a = 3.7642 Å, b = 3.7642 Å, c = 5.1918 Å
α = 90.00°, β = 90.00°, γ = 90.00°
Space group P4/mmm (No. 123)
One atom of each set of equivalent atoms:
V1 0.0000 0.0000 0.0000 (multiplicity 1)
Si1 0.5000 0.5000 0.5000 (multiplicity 1)
Se1 0.0000 0.0000 0.5000 (multiplicity 1)
N1 0.0000 0.5000 0.0000 (multiplicity 2)

10.
VASP calculation (GGA-PBE) on a geometry-optimized La4AlPt structure.

Output
- formation energy from the elements (kJ/mol of formula units) = 171
- Fermi-level density of states (states/eV/atom) = 1.23
- M_tot (μB per cell) = 0.0
- energy above the lowest structure with this stoichiometry (meV per atom) = 793

a = 8.8721 Å, b = 8.8721 Å, c = 8.8721 Å
α = 90.00°, β = 90.00°, γ = 90.00°
Space group F-43m (No. 216)
One atom of each set of equivalent atoms:
La1 0.1248 0.1248 0.1248 (multiplicity 16)
Al1 0.0000 0.0000 0.5000 (multiplicity 4)
Pt1 0.2500 0.2500 0.7500 (multiplicity 4)

11.
VASP calculation (GGA-PBE) on a geometry-optimized CaCd2Mo structure.

Output
- formation energy from the elements (kJ/mol of formula units) = 150
- Fermi-level density of states (states/eV/atom) = 0.73
- M_tot (μB per cell) = 0.0
- energy above the lowest structure with this stoichiometry (meV per atom) = 97

a = 4.6366 Å, b = 4.6366 Å, c = 3.9747 Å
α = 90.00°, β = 90.00°, γ = 90.00°
Space group P4/mmm (No. 123)
One atom of each set of equivalent atoms:
Ca1 0.0000 0.0000 0.0000 (multiplicity 1)
Cd1 0.0000 0.5000 0.5000 (multiplicity 2)
Mo1 0.5000 0.5000 0.0000 (multiplicity 1)

12.
VASP calculation (GGA-PBE) on a geometry-optimized NdHo2I structure.

Output
- Fermi-level density of states (states/eV/atom) = 1.46
- M_tot (μB per cell) = 0.0
- energy above the lowest structure with this stoichiometry (meV per atom) = 42
- formation energy (no corrections) (meV/atom) = -307.2

a = 3.7676 Å, b = 3.7676 Å, c = 31.6318 Å
α = 90.00°, β = 90.00°, γ = 120.00°
Space group R3m (No. 160, hexagonal axes)
One atom of each set of equivalent atoms:
Nd1 0.0000 0.0000 0.0000 (multiplicity 3)
Ho1 0.0000 0.0000 0.2438 (multiplicity 3)
Ho2 0.0000 0.0000 0.4223 (multiplicity 3)
I1 0.0000 0.0000 0.8332 (multiplicity 3)

13.
VASP calculation (GGA-PBE) on a geometry-optimized Sm2GaCu structure.

Output
- formation energy from the elements (kJ/mol of formula units) = -140
- Fermi-level density of states (states/eV/atom) = 0.71
- M_tot (μB per cell) = 0.0

a = 5.0958 Å, b = 3.5934 Å, c = 10.1949 Å
α = 90.00°, β = 90.00°, γ = 90.00°
Space group Pmma (No. 51)
One atom of each set of equivalent atoms:
Sm1 0.2500 0.0000 0.1187 (multiplicity 2)
Sm2 0.2500 0.0000 0.6227 (multiplicity 2)
Ga1 0.2500 0.5000 0.3646 (multiplicity 2)
Cu1 0.2500 0.5000 0.8586 (multiplicity 2)

14.
VASP calculation (GGA-PBE) on a geometry-optimized ZnSb2TePd structure.

Output
- Fermi-level density of states (states/eV/atom) = 0.67
- M_tot (μB per cell) = 0.0
- energy above the lowest structure with this stoichiometry (meV per atom) = 264
- formation energy (no corrections) (meV/atom) = 695.8

a = 5.1172 Å, b = 5.1172 Å, c = 5.2851 Å
α = 90.00°, β = 90.00°, γ = 90.00°
Space group P4/mmm (No. 123)
One atom of each set of equivalent atoms:
Zn1 0.0000 0.0000 0.0000 (multiplicity 1)
Sb1 0.0000 0.5000 0.0000 (multiplicity 2)
Te1 0.0000 0.0000 0.5000 (multiplicity 1)
Pd1 0.5000 0.5000 0.5000 (multiplicity 1)

15.
VASP calculation (GGA-PBE) on a geometry-optimized Sr2CdAg3Sb4 structure.

Output
- Fermi-level density of states (states/eV/atom) = 0.23
- M_tot (μB per cell) = 0.0
- formation energy (no corrections) (meV/atom) = -432.4

a = 4.7948 Å, b = 4.7948 Å, c = 11.9786 Å
α = 90.00°, β = 90.00°, γ = 90.00°
Space group P-4m2 (No. 115)
One atom of each set of equivalent atoms:
Sr1 0.0000 0.5000 0.2420 (multiplicity 2)
Cd1 0.0000 0.0000 0.5000 (multiplicity 1)
Ag1 0.0000 0.5000 0.8667 (multiplicity 2)
Ag2 0.5000 0.5000 0.5000 (multiplicity 1)
Sb1 0.0000 0.0000 0.0000 (multiplicity 1)
Sb2 0.0000 0.5000 0.6410 (multiplicity 2)
Sb3 0.5000 0.5000 0.0000 (multiplicity 1)

16.
VASP calculation (GGA-PBE) on a geometry-optimized InSnCl3 structure.

Output
- Fermi-level density of states (states/eV/atom) = 0.19
- M_tot (μB per cell) = 0.0
- formation energy (no corrections) (meV/atom) = -771.0

a = 4.8789 Å, b = 4.8789 Å, c = 17.5864 Å
α = 90.00°, β = 90.00°, γ = 120.00°
Space group P6_3/mmc (No. 194)
One atom of each set of equivalent atoms:
In1 0.3333 0.6667 0.2500 (multiplicity 2)
Sn1 0.0000 0.0000 0.0000 (multiplicity 2)
Cl1 0.0000 0.0000 0.2500 (multiplicity 2)
Cl2 0.3333 0.6667 0.0609 (multiplicity 4)

17.
VASP calculation (GGA-PBE) on a geometry-optimized BeAg3Sb structure.

Output
- Fermi-level density of states (states/eV/atom) = 0.00
- M_tot (μB per cell) = 0.0
- energy above the lowest structure with this stoichiometry (meV per atom) = 572
- formation energy (no corrections) (meV/atom) = 915.9

a = 5.2930 Å, b = 5.2930 Å, c = 5.2930 Å
α = 90.00°, β = 90.00°, γ = 90.00°
Space group Pm-3m (No. 221)
One atom of each set of equivalent atoms:
Be1 0.0000 0.0000 0.0000 (multiplicity 1)
Ag1 0.0000 0.5000 0.5000 (multiplicity 3)
Sb1 0.5000 0.5000 0.5000 (multiplicity 1)

18.
VASP calculation (GGA-PBE) on a geometry-optimized Pu2O5F2 structure.

Output
- Fermi-level density of states (states/eV/atom) = 0.49
- M_tot (μB per cell) = 8.0
- formation energy (no corrections) (meV/atom) = -2507.4

a = 9.5789 Å, b = 4.7067 Å, c = 7.1724 Å
α = 90.00°, β = 102.24°, γ = 90.00°
Space group C2/m (No. 12)
One atom of each set of equivalent atoms:
Pu1 0.2064 0.0000 0.1593 (multiplicity 4)
O1 0.0000 0.0000 0.0000 (multiplicity 2)
O2 0.1501 0.0000 0.3815 (multiplicity 4)
O3 0.2266 0.5000 0.0782 (multiplicity 4)
F1 0.0831 0.5000 0.7020 (multiplicity 4)

19.
VASP calculation (GGA-PBE) on a geometry-optimized HoMg4Ag structure.

Output
- formation energy from the elements (kJ/mol of formula units) = -65
- Fermi-level density of states (states/eV/atom) = 0.57
- M_tot (μB per cell) = 0.0
- energy above the lowest structure with this stoichiometry (meV per atom) = 13

a = 3.4094 Å, b = 3.4094 Å, c = 11.7157 Å
α = 90.00°, β = 90.00°, γ = 90.00°
Space group P4/mmm (No. 123)
One atom of each set of equivalent atoms:
Ho1 0.0000 0.0000 0.0000 (multiplicity 1)
Mg1 0.0000 0.0000 0.3651 (multiplicity 2)
Mg2 0.5000 0.5000 0.1958 (multiplicity 2)
Ag1 0.5000 0.5000 0.5000 (multiplicity 1)

20.
VASP calculation (GGA-PBE) on a geometry-optimized Zn2Cl5O2 structure.

Output
- Fermi-level density of states (states/eV/atom) = 0.47
- M_tot (μB per cell) = 18.2
- energy above the lowest structure with this stoichiometry (meV per atom) = 13
- formation energy (no corrections) (meV/atom) = -656.1

a = 9.2870 Å, b = 22.4271 Å, c = 9.6215 Å
α = 90.00°, β = 90.00°, γ = 90.00°
Space group Fdd2 (No. 43)
One atom of each set of equivalent atoms:
Zn1 0.0298 0.4116 0.0000 (multiplicity 16)
Cl1 0.0000 0.0000 0.6199 (multiplicity 8)
Cl2 0.0126 0.3385 0.1700 (multiplicity 16)
Cl3 0.1198 0.3606 0.5821 (multiplicity 16)
O1 0.0636 0.4939 0.6009 (multiplicity 16)